Material: CaSi2RuPt
Method: DFT, PBE
State: optimized geometry

a b c (Å): 5.027 4.843 5.027
angles (deg): 90.00 90.00 90.00
Fractional coordinates of all 5 atoms:
Ru  0.500  0.500  0.500
Ca  0.000  0.000  0.000
Si  0.500  0.000  0.000
Si  0.000  0.000  0.500
Pt  0.000  0.500  0.000

Volume in Å³/f.u.: 122.41
D(E_F) in states/eV per atom: 1.021
Energy above the lowest structure with this stoichiometry in meV per atom: 2818

Material: Na2LiPrCl6
Method: DFT, PBE
State: optimized geometry

a b c (Å): 6.996 6.995 7.443
angles (deg): 62.02 62.01 60.01
Fractional coordinates of all 10 atoms:
Na  0.020  0.020  0.940
Cl  0.093  0.444  0.753
Li  0.813  0.813  0.560
Cl  0.202  0.932  0.261
Cl  0.710  0.093  0.753
Cl  0.932  0.605  0.261
Pr  0.320  0.320  0.040
Cl  0.444  0.710  0.753
Na  0.522  0.522  0.434
Cl  0.605  0.202  0.261

Volume in Å³/f.u.: 265.13
D(E_F) in states/eV per atom: 0.000
Energy above the lowest structure with this stoichiometry in meV per atom: 0

Material: Co2RhW
Method: DFT, PBE
State: optimized geometry

a b c (Å): 4.000 2.653 5.034
angles (deg): 74.83 90.00 90.00
Fractional coordinates of all 4 atoms:
Rh  0.000  0.454  0.470
Co  0.000  0.186  0.002
W  0.500  0.798  0.776
Co  0.500  0.062  0.252

Volume in Å³/f.u.: 51.55
Energy of formation in meV per atom: 53
D(E_F) in states/eV per atom: 1.375
Energy above the lowest structure with this stoichiometry in meV per atom: 128

Material: NdAgSbAu
Method: DFT, PBE
State: optimized geometry

a b c (Å): 5.141 5.141 5.141
angles (deg): 60.00 60.00 60.00
Fractional coordinates of all 4 atoms:
Sb  0.750  0.750  0.750
Au  0.250  0.250  0.250
Ag  0.500  0.500  0.500
Nd  0.000  0.000  0.000

Volume in Å³/f.u.: 96.10
Final energy in eV per atom: -4.261
D(E_F) in states/eV per atom: 0.364

Material: Th4Au
Method: DFT, PBE
State: optimized geometry

a b c (Å): 8.130 8.130 6.948
angles (deg): 102.23 102.23 129.65
Fractional coordinates of all 10 atoms:
Th  0.247  0.526  0.357
Th  0.170  0.890  0.643
Th  0.140  0.920  0.143
Th  0.168  0.554  0.834
Th  0.720  0.334  0.166
Th  0.804  0.918  0.334
Th  0.584  0.470  0.666
Th  0.776  0.997  0.857
Au  0.598  0.098  0.500
Au  0.348  0.348  0.000

Volume in Å³/f.u.: 153.35
Energy of formation in meV per atom: -94
D(E_F) in states/eV per atom: 1.399
Energy above the lowest structure with this stoichiometry in meV per atom: 0

Material: Sr8H2Rh
Method: DFT, PBE
State: optimized geometry

a b c (Å): 7.299 8.349 8.349
angles (deg): 60.27 100.18 100.18
Fractional coordinates of all 11 atoms:
Sr  0.223  0.616  0.616
Sr  0.300  0.162  0.162
Sr  0.215  0.132  0.665
H  0.882  0.557  0.557
Sr  0.700  0.838  0.838
Sr  0.777  0.384  0.384
Sr  0.785  0.868  0.335
Sr  0.785  0.335  0.868
H  0.118  0.443  0.443
Rh  0.000  0.000  0.000
Sr  0.215  0.665  0.132

Volume in Å³/f.u.: 432.47
Final energy in eV per atom: -2.700
D(E_F) in states/eV per atom: 0.552

Material: LuMnGaCu
Method: DFT, PBE
State: optimized geometry

a b c (Å): 4.596 4.596 4.596
angles (deg): 60.00 60.00 60.00
Fractional coordinates of all 4 atoms:
Cu  0.250  0.250  0.250
Mn  0.000  0.000  0.000
Ga  0.750  0.750  0.750
Lu  0.500  0.500  0.500

Volume in Å³/f.u.: 68.64
Energy of formation in meV per atom: -178
D(E_F) in states/eV per atom: 0.512

Material: Cr2PtBr
Method: DFT, PBE
State: optimized geometry

a b c (Å): 4.798 4.798 6.608
angles (deg): 82.22 82.22 40.60
Fractional coordinates of all 4 atoms:
Cr  0.684  0.684  0.697
Cr  0.932  0.932  0.942
Br  0.477  0.477  0.212
Pt  0.406  0.406  0.649

Volume in Å³/f.u.: 97.98
D(E_F) in states/eV per atom: 0.610
Energy above the lowest structure with this stoichiometry in meV per atom: 221

Material: BeRe2Mo
Method: DFT, PBE
State: optimized geometry

a b c (Å): 4.782 4.782 4.782
angles (deg): 133.62 133.62 67.68
Fractional coordinates of all 4 atoms:
Be  0.250  0.750  0.500
Re  0.000  0.000  0.000
Re  0.500  0.500  0.000
Mo  0.750  0.250  0.500

Volume in Å³/f.u.: 56.33
Energy of formation in meV per atom: 200
D(E_F) in states/eV per atom: 0.838

Material: Be2FeHg
Method: DFT, PBE
State: optimized geometry

a b c (Å): 3.848 3.848 3.283
angles (deg): 90.00 90.00 90.00
Fractional coordinates of all 4 atoms:
Hg  0.000  0.500  0.500
Fe  0.500  0.000  0.500
Be  0.000  0.000  0.000
Be  0.500  0.500  0.000

Volume in Å³/f.u.: 48.62
Energy of formation in meV per atom: 281
D(E_F) in states/eV per atom: 0.405

Material: CuHgTe2
Method: DFT, PBE
State: optimized geometry

a b c (Å): 8.293 4.451 8.402
angles (deg): 105.38 66.16 74.45
Fractional coordinates of all 8 atoms:
Te  0.572  0.261  0.247
Te  0.479  0.083  0.794
Hg  0.961  0.914  0.939
Hg  0.698  0.352  0.551
Te  0.087  0.002  0.243
Cu  0.372  0.895  0.316
Te  0.180  0.183  0.696
Cu  0.287  0.368  0.174

Volume in Å³/f.u.: 123.76
Final energy in eV per atom: -2.727
D(E_F) in states/eV per atom: 0.196

Material: VSe2I
Method: DFT, PBE
State: optimized geometry

a b c (Å): 4.952 4.952 4.952
angles (deg): 60.00 60.00 60.00
Fractional coordinates of all 4 atoms:
V  0.000  0.000  0.000
I  0.500  0.500  0.500
Se  0.250  0.250  0.250
Se  0.750  0.750  0.750

Volume in Å³/f.u.: 85.88
D(E_F) in states/eV per atom: 1.235
Energy above the lowest structure with this stoichiometry in meV per atom: 1013

Material: U2Tl3VS6
Method: DFT, PBE
State: optimized geometry

a b c (Å): 6.645 6.645 8.100
angles (deg): 98.00 98.00 119.94
Fractional coordinates of all 12 atoms:
Tl  0.171  0.829  0.500
S  0.754  0.754  0.191
S  0.375  0.063  0.187
U  0.334  0.666  0.000
Tl  0.829  0.171  0.500
S  0.246  0.246  0.809
Tl  0.500  0.500  0.500
S  0.625  0.937  0.813
V  0.000  0.000  0.000
S  0.063  0.375  0.187
U  0.666  0.334  0.000
S  0.937  0.625  0.813

Volume in Å³/f.u.: 297.70
Final energy in eV per atom: -6.209
D(E_F) in states/eV per atom: 1.024

Material: MgZn2Ga2Rh2
Method: DFT, PBE
State: optimized geometry

a b c (Å): 4.339 4.324 7.117
angles (deg): 108.37 90.00 120.12
Fractional coordinates of all 7 atoms:
Ga  0.406  0.812  0.222
Rh  0.728  0.456  0.189
Rh  0.272  0.544  0.811
Ga  0.594  0.188  0.778
Zn  0.139  0.277  0.418
Mg  0.000  0.000  0.000
Zn  0.861  0.723  0.582

Volume in Å³/f.u.: 107.55
Energy of formation in meV per atom: -445
D(E_F) in states/eV per atom: 0.424

Material: YInAs3
Method: DFT, PBE
State: optimized geometry

a b c (Å): 5.449 5.449 5.449
angles (deg): 90.00 90.00 90.00
Fractional coordinates of all 5 atoms:
As  0.500  0.000  0.000
As  0.000  0.000  0.500
Y  0.000  0.000  0.000
As  0.000  0.500  0.000
In  0.500  0.500  0.500

Volume in Å³/f.u.: 161.77
Energy of formation in meV per atom: 251
D(E_F) in states/eV per atom: 1.060
Energy above the lowest structure with this stoichiometry in meV per atom: 0

Material: KMnCl3
Method: DFT, PBE
State: optimized geometry

a b c (Å): 19.421 9.152 9.152
angles (deg): 158.10 152.51 27.49
Fractional coordinates of all 10 atoms:
Cl  0.157  0.174  0.826
Cl  0.504  0.613  0.387
K  0.872  0.963  0.037
Cl  0.753  0.254  0.746
Mn  0.585  0.956  0.044
Cl  0.843  0.826  0.174
Mn  0.415  0.044  0.956
Cl  0.496  0.387  0.613
Cl  0.247  0.746  0.254
K  0.128  0.037  0.963

Volume in Å³/f.u.: 129.95
Final energy in eV per atom: -4.115
D(E_F) in states/eV per atom: 0.000

Material: Cs2Pb3S5
Method: DFT, PBE
State: optimized geometry

a b c (Å): 7.769 12.156 12.156
angles (deg): 41.96 71.36 71.36
Fractional coordinates of all 20 atoms:
S  0.912  0.962  0.215
S  0.073  0.677  0.677
S  0.250  0.500  0.500
Pb  0.591  0.478  0.340
Pb  0.091  0.340  0.478
Pb  0.909  0.660  0.522
Pb  0.250  0.000  0.000
Pb  0.750  0.000  0.000
S  0.588  0.785  0.038
S  0.412  0.215  0.962
S  0.750  0.500  0.500
S  0.427  0.323  0.323
Cs  0.699  0.964  0.638
Cs  0.301  0.036  0.362
S  0.573  0.677  0.677
Pb  0.409  0.522  0.660
Cs  0.199  0.638  0.964
S  0.088  0.038  0.785
S  0.927  0.323  0.323
Cs  0.801  0.362  0.036

Volume in Å³/f.u.: 360.54
Final energy in eV per atom: -3.932
D(E_F) in states/eV per atom: 0.241

Material: InTeAs4
Method: DFT, PBE
State: optimized geometry

a b c (Å): 6.194 6.194 6.194
angles (deg): 60.00 60.00 60.00
Fractional coordinates of all 6 atoms:
Te  0.000  0.000  0.000
As  0.946  0.351  0.351
As  0.351  0.946  0.351
As  0.351  0.351  0.351
As  0.351  0.351  0.946
In  0.750  0.750  0.750

Volume in Å³/f.u.: 168.02
Final energy in eV per atom: -3.794
D(E_F) in states/eV per atom: 0.906